HfB2Os2 | PBE-GGA | optimized geometry

Lattice parameters (Å, degrees): 5.146 5.146 5.146 137.07 137.07 62.33
Fractional positions:
B: 0.392 0.392 0.000
Os: 0.750 0.250 0.500
Os: 0.250 0.750 0.500
B: 0.608 0.608 0.000
Hf: 0.000 0.000 0.000

The calculation puts the total energy at -9.512 eV per atom.